## YCoOsPb (PBE-GGA)

Data for a relaxed YCoOsPb crystal.

Unit cell a=4.765 b=4.765 c=4.765 alpha=60.00 beta=60.00 gamma=60.00
Element x y z (fractional)
Y: 0.250 0.250 0.250
Pb: 0.000 0.000 0.000
Co: 0.750 0.750 0.750
Os: 0.500 0.500 0.500

Results
**E above lowest polymorph**: 314.5 meV per atom
**Magnetic moment**: 3.0 μB per cell
**Space-group type**: F-43m